Density functional theory data (PBE-GGA) for crystalline TcRu2Rh at its relaxed geometry.

Crystal system = orthorhombic
Energy relative to the elements = -0.075 eV/atom
D(E_F) = 0.802 states/eV/atom

```
TcRu2Rh
1.0
4.746 0.000 0.000
0.000 4.325 0.000
0.000 0.000 10.964
Tc Ru Rh
4 8 4
direct
0.086 0.250 0.062
0.414 0.750 0.562
0.586 0.250 0.438
0.914 0.750 0.938
0.080 0.250 0.562
0.083 0.250 0.810
0.417 0.750 0.310
0.420 0.750 0.062
0.580 0.250 0.938
0.583 0.250 0.690
0.917 0.750 0.190
0.920 0.750 0.438
0.087 0.250 0.314
0.413 0.750 0.814
0.587 0.250 0.186
0.913 0.750 0.686
```

=====

Density functional theory data (PBE-GGA) for crystalline Pr3NdSb4 at its relaxed geometry.

Crystal system = cubic
Formation energy from raw total energies = -115.5 kJ per mole of atoms
D(E_F) = 0.079 states/eV/atom

```
Pr3NdSb4
1.0
6.431 0.000 0.000
0.000 6.431 0.000
0.000 0.000 6.431
Pr Nd Sb
3 1 4
direct
0.000 0.000 0.500
0.000 0.500 0.000
0.500 0.000 0.000
0.500 0.500 0.500
0.000 0.000 0.000
0.000 0.500 0.500
0.500 0.000 0.500
0.500 0.500 0.000
```

=====

Density functional theory data (PBE-GGA) for crystalline TcRhBr2 at its relaxed geometry.

Crystal system = trigonal
Formation energy from raw total energies = 62.5 kJ per mole of atoms
D(E_F) = 1.164 states/eV/atom

```
TcRhBr2
1.0
1.597 0.922 8.581
-1.597 0.922 8.581
0.000 -1.844 8.581
Tc Rh Br
1 1 2
direct
0.000 0.000 0.000
0.500 0.500 0.500
0.406 0.406 0.406
0.594 0.594 0.594
```

=====

Density functional theory data (PBE-GGA) for crystalline Nd2SmDyEr at its relaxed geometry.

Crystal system = monoclinic
Energy relative to the elements = 0.270 eV/atom
D(E_F) = 1.178 states/eV/atom

```
Nd2SmDyEr
1.0
8.195 0.000 0.000
0.000 6.747 0.000
-0.012 0.000 6.195
Nd Sm Dy Er
4 2 2 2
direct
0.195 0.193 0.251
0.195 0.807 0.751
0.805 0.193 0.249
0.805 0.807 0.749
0.500 0.500 0.000
0.500 0.500 0.500
0.500 0.080 0.750
0.500 0.920 0.250
0.000 0.343 0.750
0.000 0.657 0.250
```

=====

Density functional theory data (PBE-GGA) for crystalline Be2InCu at its relaxed geometry.

Crystal system = orthorhombic
Energy relative to the elements = 0.301 eV/atom
D(E_F) = 0.210 states/eV/atom

```
Be2InCu
1.0
2.736 0.000 0.000
0.000 3.284 0.000
0.000 0.000 5.899
Be In Cu
2 1 1
direct
0.000 0.000 0.000
0.500 0.500 0.178
0.500 0.500 0.698
0.000 0.000 0.371
```

=====

Density functional theory data (PBE-GGA) for crystalline Fe2OsPb at its relaxed geometry.

Crystal system = orthorhombic
Energy relative to the elements = 0.618 eV/atom
D(E_F) = 0.937 states/eV/atom

```
Fe2OsPb
1.0
-1.618 2.175 4.344
1.618 -2.175 4.344
1.618 2.175 -4.344
Fe Os Pb
2 1 1
direct
0.000 0.000 0.000
0.783 0.283 0.500
0.253 0.753 0.500
0.524 0.524 0.000
```